## K2ZnCd (GGA-PBEsol)

Data for crystalline K2ZnCd at its relaxed geometry.

The structure in POSCAR format:
```
K2ZnCd
1.0
-1.907 -0.107 4.267
1.486 -3.121 3.147
5.656 4.436 5.199
K Zn Cd
2 1 1
Direct
0.967 0.967 0.100 K
0.783 0.783 0.650 K
0.542 0.542 0.375 Zn
0.208 0.208 0.375 Cd
```

Output
- magnetization (μB per cell) = 0.0
- energy (eV per formula unit) = -4.85
- formation energy from the elements (eV/atom) = 0.049